(1)
# LaBrO2

A relaxed structure of LaBrO2 (GGA-PBE, Alexandria via LeMat-Bulk).

ΔE to the lowest computed polymorph in meV/atom: 115
Calculated volume in Å³/f.u.: 82.1
Formation energy from raw total energies in meV/atom: -2040

abc: 4.1822 6.2358 6.9709
angles: 114.55 95.65 90.89
Last column: nearest neighbours and their distance in Å.
Element x y z (fractional)
La1 0.0000 0.0000 0.0000  6 O 2.37-2.58
La2 0.4360 0.4478 0.6935  4 O 2.32-2.49
Br1 0.5717 0.8783 0.3319  1 O 1.92
Br2 0.9069 0.5093 0.3506  1 Br 2.75, 1 O 2.90
O1 0.3057 0.1307 0.3438  1 Br 1.92
O2 0.4592 0.8825 0.8031  1 O 1.49
O3 0.4776 0.1432 0.8770  1 O 1.49
O4 0.9670 0.5806 0.8455  3 La 2.32-2.37

---

(2)
# La2BrO2

A relaxed structure of La2BrO2 (GGA-PBE, Alexandria via LeMat-Bulk).

ΔE to the lowest computed polymorph in meV/atom: 483
Calculated volume in Å³/f.u.: 106.4
Formation energy from raw total energies in meV/atom: -2425

abc: 3.9516 3.9516 6.8114
angles: 90.00 90.00 90.00
Last column: nearest neighbours and their distance in Å.
Element x y z (fractional)
La1 0.0000 0.0000 0.2080  4 O 2.43
La2 0.0000 0.0000 0.7920  4 O 2.43
Br1 0.5000 0.5000 0.5000  8 La 3.43
O1 0.0000 0.5000 0.0000  4 La 2.43
O2 0.5000 0.0000 0.0000  4 La 2.43

---

(3)
# La4Br3O4

A relaxed structure of La4Br3O4 (GGA-PBE, Alexandria via LeMat-Bulk).

Calculated volume in Å³/f.u.: 239.9
Formation energy from raw total energies in meV/atom: -2608

abc: 8.6802 8.6802 8.6802
angles: 155.12 118.45 67.44
Last column: nearest neighbours and their distance in Å.
Element x y z (fractional)
La1 0.1993 0.1993 0.0000  4 O 2.46
La2 0.2598 0.5000 0.7598  2 O 2.31
La3 0.7402 0.5000 0.2402  2 O 2.31
La4 0.8007 0.8007 0.0000  4 O 2.46
Br1 0.0000 0.0000 0.0000  6 La 2.88-2.97, 8 O 3.18
Br2 0.3844 0.8844 0.5000  6 La 3.26-3.29, 1 Br 3.34, 4 O 3.58
Br3 0.6156 0.1156 0.5000  6 La 3.26-3.29, 1 Br 3.34, 4 O 3.58
O1 0.0122 0.3520 0.6602  3 La 2.31-2.46
O2 0.3081 0.6480 0.6602  3 La 2.31-2.46
O3 0.6919 0.3520 0.3398  3 La 2.31-2.46
O4 0.9878 0.6480 0.3398  3 La 2.31-2.46

---

(4)
# LaBrO2

A relaxed structure of LaBrO2 (GGA-PBE, Alexandria via LeMat-Bulk).

ΔE to the lowest computed polymorph in meV/atom: 132
Calculated volume in Å³/f.u.: 80.6
Formation energy from raw total energies in meV/atom: -2024

abc: 7.3039 7.3039 12.8348
angles: 102.17 102.17 78.03
Last column: nearest neighbours and their distance in Å.
Element x y z (fractional)
La1 0.0653 0.3036 0.3810  3 O 2.30-2.42
La2 0.1086 0.6332 0.9333  3 O 2.24-2.38
La3 0.3036 0.0653 0.8810  3 O 2.30-2.42
La4 0.3668 0.8914 0.5667  3 O 2.24-2.38
La5 0.6332 0.1086 0.4333  3 O 2.24-2.38
La6 0.6964 0.9347 0.1190  3 O 2.30-2.42
La7 0.8914 0.3668 0.0667  3 O 2.24-2.38
La8 0.9347 0.6964 0.6190  3 O 2.30-2.42
Br1 0.0773 0.8045 0.3644  2 O 2.09-2.10
Br2 0.1955 0.9227 0.1356  2 O 2.09-2.10
Br3 0.3219 0.4006 0.7332  2 O 1.99-2.21
Br4 0.4006 0.3219 0.2332  2 O 1.99-2.21
Br5 0.5994 0.6781 0.7668  2 O 1.99-2.21
Br6 0.6781 0.5994 0.2668  2 O 1.99-2.21
Br7 0.8045 0.0773 0.8644  2 O 2.09-2.10
Br8 0.9227 0.1955 0.6356  2 O 2.09-2.10
O1 0.0152 0.9848 0.2500  2 Br 2.09
O2 0.1197 0.3649 0.2200  1 Br 1.99
O3 0.1402 0.3388 0.9681  3 La 2.24-2.38
O4 0.1417 0.6382 0.4865  1 Br 2.10
O5 0.2870 0.7130 0.7500  2 Br 2.21
O6 0.3388 0.1402 0.4681  3 La 2.24-2.38
O7 0.3618 0.8583 0.0135  1 Br 2.10
O8 0.3649 0.1197 0.7200  1 Br 1.99
O9 0.6351 0.8803 0.2800  1 Br 1.99
O10 0.6382 0.1417 0.9865  1 Br 2.10
O11 0.6612 0.8598 0.5319  3 La 2.24-2.38
O12 0.7130 0.2870 0.2500  2 Br 2.21
O13 0.8583 0.3618 0.5135  1 Br 2.10
O14 0.8598 0.6612 0.0319  3 La 2.24-2.38
O15 0.8803 0.6351 0.7800  1 Br 1.99
O16 0.9848 0.0152 0.7500  2 Br 2.09

---

(5)
# LaBrO2

A relaxed structure of LaBrO2 (GGA-PBE, Alexandria via LeMat-Bulk).

ΔE to the lowest computed polymorph in meV/atom: 114
Calculated volume in Å³/f.u.: 92.1
Formation energy from raw total energies in meV/atom: -2042

abc: 4.2620 4.2620 7.0109
angles: 116.43 116.43 57.01
Last column: nearest neighbours and their distance in Å.
Element x y z (fractional)
La1 0.0000 0.0000 0.0000  5 O 2.40-2.48
Br1 0.8288 0.8288 0.3295  3 La 3.13-3.16, 2 O 3.35
O1 0.2954 0.2954 0.9336  1 O 1.49
O2 0.3891 0.3891 0.7906  1 O 1.49

---

(6)
# LaBrO2

A relaxed structure of LaBrO2 (GGA-PBE, Alexandria via LeMat-Bulk).

ΔE to the lowest computed polymorph in meV/atom: 658
Calculated volume in Å³/f.u.: 78.6
Formation energy from raw total energies in meV/atom: -1498

abc: 4.2123 4.2123 4.4293
angles: 90.00 90.00 90.00
Last column: nearest neighbours and their distance in Å.
Element x y z (fractional)
La1 0.0000 0.0000 0.0000  2 O 2.21
Br1 0.5000 0.5000 0.5000  2 O 2.21
O1 0.0000 0.0000 0.5000  2 La 2.21
O2 0.5000 0.5000 0.0000  2 Br 2.21

---

(7)
# LaBrO2

A relaxed structure of LaBrO2 (GGA-PBE, Alexandria via LeMat-Bulk).

ΔE to the lowest computed polymorph in meV/atom: 239
Calculated volume in Å³/f.u.: 78.4
Formation energy from raw total energies in meV/atom: -1916

abc: 11.2507 11.2507 3.9474
angles: 90.00 90.00 161.70
Last column: nearest neighbours and their distance in Å.
Element x y z (fractional)
La1 0.1837 0.8163 0.7500  3 O 2.27-2.51
La2 0.8163 0.1837 0.2500  3 O 2.27-2.51
Br1 0.4212 0.5788 0.7500  2 O 2.06
Br2 0.5788 0.4212 0.2500  2 O 2.06
O1 0.2861 0.7139 0.7500  1 La 2.27
O2 0.3953 0.6047 0.2500  2 Br 2.06
O3 0.6047 0.3953 0.7500  2 Br 2.06
O4 0.7139 0.2861 0.2500  1 La 2.27

---

(8)
# LaBrO

A relaxed structure of LaBrO (GGA-PBE, Alexandria via LeMat-Bulk).

Calculated volume in Å³/f.u.: 68.7
Formation energy from raw total energies in meV/atom: -2824

abc: 4.0032 4.0032 4.9496
angles: 90.00 90.00 120.00
Last column: nearest neighbours and their distance in Å.
Element x y z (fractional)
La1 0.0000 0.0000 0.0000  3 O 2.31
Br1 0.6667 0.3333 0.5000  6 La 3.39, 6 O 3.39
O1 0.3333 0.6667 0.0000  3 La 2.31

---

(9)
# La8Os3Br4O

A relaxed structure of La8Os3Br4O (GGA-PBE, Alexandria via LeMat-Bulk).

Calculated volume in Å³/f.u.: 461.5
Formation energy from raw total energies in meV/atom: -1135

abc: 8.2103 8.2103 9.2269
angles: 116.47 116.47 59.90
Last column: nearest neighbours and their distance in Å.
Element x y z (fractional)
La1 0.2249 0.7382 0.6874  1 O 2.74, 2 Os 2.82-2.83
La2 0.2266 0.2266 0.6885  1 O 2.77, 2 Os 2.82
La3 0.2618 0.7751 0.3126  1 O 2.74, 2 Os 2.82-2.83
La4 0.2652 0.2652 0.2960  3 Os 2.87
La5 0.7348 0.7348 0.7040  3 Os 2.87
La6 0.7382 0.2249 0.6874  1 O 2.74, 2 Os 2.82-2.83
La7 0.7734 0.7734 0.3115  1 O 2.77, 2 Os 2.82
La8 0.7751 0.2618 0.3126  1 O 2.74, 2 Os 2.82-2.83
Os1 0.0000 0.5000 0.5000  6 La 2.82-2.87
Os2 0.5000 0.0000 0.5000  6 La 2.82-2.87
Os3 0.5000 0.5000 0.5000  6 La 2.82-2.87
Br1 0.0000 0.0000 0.0000  6 La 3.33-3.40
Br2 0.0000 0.5000 0.0000  6 La 3.33-3.40
Br3 0.5000 0.0000 0.0000  6 La 3.33-3.40
Br4 0.5000 0.5000 0.0000  6 La 3.45-3.47
O1 0.0000 0.0000 0.5000  6 La 2.74-2.77

---

(10)
# La6P2Br3O

A relaxed structure of La6P2Br3O (GGA-PBE, Alexandria via LeMat-Bulk).

Calculated volume in Å³/f.u.: 321.0
Formation energy from raw total energies in meV/atom: -1719

abc: 7.0932 7.0932 7.7302
angles: 98.81 98.81 119.90
Last column: nearest neighbours and their distance in Å.
Element x y z (fractional)
La1 0.0655 0.3748 0.1975  1 O 2.63, 2 P 2.86
La2 0.2434 0.2434 0.7946  1 O 2.68, 2 P 2.86
La3 0.3748 0.0655 0.1975  1 O 2.63, 2 P 2.86
La4 0.6252 0.9345 0.8025  1 O 2.63, 2 P 2.86
La5 0.7566 0.7566 0.2054  1 O 2.68, 2 P 2.86
La6 0.9345 0.6252 0.8025  1 O 2.63, 2 P 2.86
P1 0.3347 0.6653 0.0000  6 La 2.86
P2 0.6653 0.3347 0.0000  6 La 2.86
Br1 0.1788 0.8212 0.5000  6 La 3.20-3.28
Br2 0.5000 0.5000 0.5000  6 La 3.19-3.32
Br3 0.8212 0.1788 0.5000  6 La 3.20-3.28
O1 0.0000 0.0000 0.0000  6 La 2.63-2.68

---

(11)
# La8P3Br4O

A relaxed structure of La8P3Br4O (GGA-PBE, Alexandria via LeMat-Bulk).

Calculated volume in Å³/f.u.: 440.3
Formation energy from raw total energies in meV/atom: -1688

abc: 8.8124 8.8124 8.8124
angles: 56.11 56.11 56.11
Last column: nearest neighbours and their distance in Å.
Element x y z (fractional)
La1 0.2364 0.2364 0.2364  3 P 2.85
La2 0.2570 0.7196 0.7196  1 O 2.65, 2 P 2.88
La3 0.2804 0.2804 0.7430  1 O 2.65, 2 P 2.88
La4 0.2804 0.7430 0.2804  1 O 2.65, 2 P 2.88
La5 0.7196 0.2570 0.7196  1 O 2.65, 2 P 2.88
La6 0.7196 0.7196 0.2570  1 O 2.65, 2 P 2.88
La7 0.7430 0.2804 0.2804  1 O 2.65, 2 P 2.88
La8 0.7636 0.7636 0.7636  3 P 2.85
P1 0.0000 0.0000 0.5000  6 La 2.85-2.88
P2 0.0000 0.5000 0.0000  6 La 2.85-2.88
P3 0.5000 0.0000 0.0000  6 La 2.85-2.88
Br1 0.0000 0.0000 0.0000  6 La 3.42
Br2 0.0000 0.5000 0.5000  6 La 3.22
Br3 0.5000 0.0000 0.5000  6 La 3.22
Br4 0.5000 0.5000 0.0000  6 La 3.22
O1 0.5000 0.5000 0.5000  6 La 2.65

---

(12)
# LaPd2BrO

A relaxed structure of LaPd2BrO (GGA-PBE, Alexandria via LeMat-Bulk).

Calculated volume in Å³/f.u.: 163.6
Formation energy from raw total energies in meV/atom: 492

abc: 5.3328 5.3328 5.7534
angles: 90.00 90.00 90.00
Last column: nearest neighbours and their distance in Å.
Element x y z (fractional)
La1 0.0000 0.0000 0.0000  4 Pd 2.67, 2 Br 2.88
Pd1 0.0000 0.5000 0.0000  2 La 2.67
Pd2 0.5000 0.0000 0.0000  2 La 2.67
Br1 0.0000 0.0000 0.5000  2 La 2.88
O1 0.5000 0.5000 0.5000  4 Br 3.77, 8 Pd 3.92